Entry 1:
This record from Alexandria via LeMat-Bulk describes a relaxed structure of GdPaTc2. The functional is PBE.

Output
Calculated volume   82.5 Å³/cell
ΔH_f (0 K)   -170.5 meV/atom
Electronic total energy   -11.248 eV per atom
Offset from the most stable computed form   0.000 eV/atom

Cell lengths 3.4254, 3.4254, 7.0274 Å; angles 90.00, 90.00, 90.00 degrees
Element x y z (fractional)
Gd1 0.0000 0.0000 0.0000
Pa1 0.0000 0.0000 0.5000
Tc1 0.5000 0.5000 0.2833
Tc2 0.5000 0.5000 0.7167

=====

Entry 2:
This record from Alexandria via LeMat-Bulk describes a relaxed structure of Ho2PuN4. The functional is PBE.

Output
Calculated volume   103.7 Å³/cell
Electronic total energy   -9.294 eV per atom
Uncorrected formation energy   -8.3 eV/f.u.

Cell lengths 6.1163, 6.1163, 5.7897 Å; angles 117.09, 117.09, 32.95 degrees
Element x y z (fractional)
Ho1 0.1938 0.1938 0.1974
Ho2 0.8062 0.8062 0.8026
Pu1 0.5000 0.5000 0.5000
N1 0.1314 0.1314 0.7606
N2 0.3804 0.3804 0.6548
N3 0.6196 0.6196 0.3452
N4 0.8686 0.8686 0.2394

=====

Entry 3:
This record from Alexandria via LeMat-Bulk describes a relaxed structure of K3TlIn. The functional is PBE.

Output
Calculated volume   304.0 Å³/cell
ΔH_f (0 K)   251.4 meV/atom
Electronic total energy   -1.428 eV per atom
Offset from the most stable computed form   0.317 eV/atom

Cell lengths 6.7239, 6.7239, 6.7239 Å; angles 90.00, 90.00, 90.00 degrees
Element x y z (fractional)
K1 0.0000 0.0000 0.5000
K2 0.0000 0.5000 0.0000
K3 0.5000 0.0000 0.0000
Tl1 0.5000 0.5000 0.5000
In1 0.0000 0.0000 0.0000

=====

Entry 4:
This record from Alexandria via LeMat-Bulk describes a relaxed structure of SrPt2Br. The functional is PBE.

Output
Calculated volume   89.8 Å³/cell
Electronic total energy   -4.181 eV per atom
Uncorrected formation energy   -1.3 eV/f.u.
Offset from the most stable computed form   0.372 eV/atom

Cell lengths 6.2824, 6.2824, 3.5449 Å; angles 106.32, 106.32, 125.54 degrees
Element x y z (fractional)
Sr1 0.0000 0.0000 0.0000
Pt1 0.0000 0.5000 0.5000
Pt2 0.5000 0.0000 0.5000
Br1 0.5000 0.5000 0.0000

=====

Entry 5:
This record from Alexandria via LeMat-Bulk describes a relaxed structure of LiCe2Zn2Pt5. The functional is PBE.

Output
Calculated volume   360.4 Å³/cell
ΔH_f (0 K)   -688.1 meV/atom
Electronic total energy   -5.341 eV per atom

Cell lengths 9.7315, 9.7315, 3.8058 Å; angles 90.00, 90.00, 90.00 degrees
Element x y z (fractional)
Li1 0.0000 0.0000 0.0000
Li2 0.5000 0.5000 0.0000
Ce1 0.1781 0.3219 0.0000
Ce2 0.3219 0.8219 0.0000
Ce3 0.6781 0.1781 0.0000
Ce4 0.8219 0.6781 0.0000
Zn1 0.1210 0.6210 0.0000
Zn2 0.3790 0.1210 0.0000
Zn3 0.6210 0.8790 0.0000
Zn4 0.8790 0.3790 0.0000
Pt1 0.0000 0.5000 0.5000
Pt2 0.0648 0.7983 0.5000
Pt3 0.2017 0.0648 0.5000
Pt4 0.2983 0.5648 0.5000
Pt5 0.4352 0.2983 0.5000
Pt6 0.5000 0.0000 0.5000
Pt7 0.5648 0.7017 0.5000
Pt8 0.7017 0.4352 0.5000
Pt9 0.7983 0.9352 0.5000
Pt10 0.9352 0.2017 0.5000

=====

Entry 6:
This record from Alexandria via LeMat-Bulk describes a relaxed structure of Sc2U2Ni15. The functional is PBE.

Output
Calculated volume   252.3 Å³/cell
ΔH_f (0 K)   -235.2 meV/atom
Electronic total energy   -6.654 eV per atom

Cell lengths 6.3859, 6.3859, 6.3859 Å; angles 81.32, 81.32, 81.32 degrees
Element x y z (fractional)
Sc1 0.1349 0.1349 0.1349
Sc2 0.8651 0.8651 0.8651
U1 0.4019 0.4019 0.4019
U2 0.5981 0.5981 0.5981
Ni1 0.0000 0.5000 0.5000
Ni2 0.1569 0.1569 0.6685
Ni3 0.1569 0.6685 0.1569
Ni4 0.1750 0.5000 0.8250
Ni5 0.1750 0.8250 0.5000
Ni6 0.3315 0.8431 0.8431
Ni7 0.5000 0.0000 0.5000
Ni8 0.5000 0.1750 0.8250
Ni9 0.5000 0.5000 0.0000
Ni10 0.5000 0.8250 0.1750
Ni11 0.6685 0.1569 0.1569
Ni12 0.8250 0.1750 0.5000
Ni13 0.8250 0.5000 0.1750
Ni14 0.8431 0.3315 0.8431
Ni15 0.8431 0.8431 0.3315

=====

Entry 7:
This record from Alexandria via LeMat-Bulk describes a relaxed structure of ZrPb2W. The functional is PBE.

Output
Calculated volume   86.1 Å³/cell
ΔH_f (0 K)   589.4 meV/atom
Electronic total energy   -6.640 eV per atom
Offset from the most stable computed form   0.242 eV/atom

Cell lengths 4.9560, 4.9560, 4.9560 Å; angles 60.00, 60.00, 60.00 degrees
Element x y z (fractional)
Zr1 0.0000 0.0000 0.0000
Pb1 0.2500 0.2500 0.2500
Pb2 0.7500 0.7500 0.7500
W1 0.5000 0.5000 0.5000

=====

Entry 8:
This record from Alexandria via LeMat-Bulk describes a relaxed structure of Nd2AlRu2. The functional is PBE.

Output
Calculated volume   217.5 Å³/cell
ΔH_f (0 K)   -383.8 meV/atom
Electronic total energy   -6.750 eV per atom

Cell lengths 5.8094, 5.8094, 7.8284 Å; angles 103.28, 103.28, 58.58 degrees
Element x y z (fractional)
Nd1 0.9999 0.2909 0.1442
Nd2 0.0001 0.7091 0.8558
Nd3 0.2909 0.9999 0.6442
Nd4 0.7091 0.0001 0.3558
Al1 0.3948 0.6052 0.2500
Al2 0.6052 0.3948 0.7500
Ru1 0.2126 0.5120 0.4834
Ru2 0.4880 0.7874 0.0166
Ru3 0.5120 0.2126 0.9834
Ru4 0.7874 0.4880 0.5166

=====

Entry 9:
This record from Alexandria via LeMat-Bulk describes a relaxed structure of Hf3ZrN4. The functional is PBE.

Output
Calculated volume   94.7 Å³/cell
Electronic total energy   -10.683 eV per atom
Uncorrected formation energy   -13.8 eV/f.u.
Offset from the most stable computed form   0.029 eV/atom

Cell lengths 4.5585, 4.5585, 4.5585 Å; angles 90.00, 90.00, 90.00 degrees
Element x y z (fractional)
Hf1 0.0000 0.0000 0.5000
Hf2 0.0000 0.5000 0.0000
Hf3 0.5000 0.0000 0.0000
Zr1 0.5000 0.5000 0.5000
N1 0.0000 0.0000 0.0000
N2 0.0000 0.5000 0.5000
N3 0.5000 0.0000 0.5000
N4 0.5000 0.5000 0.0000

=====

Entry 10:
This record from Alexandria via LeMat-Bulk describes a relaxed structure of Na2NiH6Pt. The functional is PBE.

Output
Calculated volume   87.1 Å³/cell
Electronic total energy   -3.712 eV per atom

Cell lengths 4.9699, 4.9699, 4.9725 Å; angles 119.90, 119.90, 89.95 degrees
Element x y z (fractional)
Na1 0.2500 0.7500 0.0000
Na2 0.7500 0.2500 0.0000
Ni1 0.0000 0.0000 0.5000
H1 0.2446 0.2446 0.4984
H2 0.2449 0.7551 0.5000
H3 0.2460 0.2460 0.9931
H4 0.7540 0.7540 0.0069
H5 0.7551 0.2449 0.5000
H6 0.7554 0.7554 0.5016
Pt1 0.5000 0.5000 0.5000